(1)
Here is a geometry-optimized HgBiS structure from Alexandria via LeMat-Bulk. Energies are from PBE.

a b c (Å): 3.9518 6.9381 7.1035
angles (deg): 100.45 106.06 90.19
With the nearest neighbours (Å) after each atom.
Element x y z (fractional)
Hg (0.2124, 0.3072, 0.4281)  3 S 3.26-3.39, 2 Hg 3.32, 2 Bi 3.39
Hg (0.7876, 0.6928, 0.5719)  3 S 3.26-3.39, 2 Hg 3.32, 2 Bi 3.39
Bi (0.4912, 0.7248, 0.9802)  2 S 2.64
Bi (0.5088, 0.2752, 0.0198)  2 S 2.64
S (0.1193, 0.8188, 0.2369)  2 Bi 2.64
S (0.8807, 0.1812, 0.7631)  2 Bi 2.64

The crystal system is triclinic. As for the distance to the lowest polymorph of the same formula: 0.0 meV per atom. The energy relative to the elements, uncorrected is -33 meV per atom.

(2)
Here is a geometry-optimized EuScCdGa structure from Alexandria via LeMat-Bulk. Energies are from PBE.

a b c (Å): 7.2834 7.2834 7.2834
angles (deg): 90.00 90.00 90.00
With the nearest neighbours (Å) after each atom.
Element x y z (fractional)
Eu (0.0000, 0.0000, 0.0000)  4 Ga 3.15, 4 Cd 3.15
Eu (0.0000, 0.5000, 0.5000)  4 Ga 3.15, 4 Cd 3.15
Eu (0.5000, 0.0000, 0.5000)  4 Ga 3.15, 4 Cd 3.15
Eu (0.5000, 0.5000, 0.0000)  4 Ga 3.15, 4 Cd 3.15
Sc (0.0000, 0.0000, 0.5000)  4 Cd 3.15, 4 Ga 3.15
Sc (0.0000, 0.5000, 0.0000)  4 Cd 3.15, 4 Ga 3.15
Sc (0.5000, 0.0000, 0.0000)  4 Cd 3.15, 4 Ga 3.15
Sc (0.5000, 0.5000, 0.5000)  4 Cd 3.15, 4 Ga 3.15
Cd (0.2500, 0.2500, 0.7500)  4 Eu 3.15, 4 Sc 3.15
Cd (0.2500, 0.7500, 0.2500)  4 Eu 3.15, 4 Sc 3.15
Cd (0.7500, 0.2500, 0.2500)  4 Eu 3.15, 4 Sc 3.15
Cd (0.7500, 0.7500, 0.7500)  4 Sc 3.15, 4 Eu 3.15
Ga (0.2500, 0.2500, 0.2500)  4 Sc 3.15, 4 Eu 3.15
Ga (0.2500, 0.7500, 0.7500)  4 Sc 3.15, 4 Eu 3.15
Ga (0.7500, 0.2500, 0.7500)  4 Sc 3.15, 4 Eu 3.15
Ga (0.7500, 0.7500, 0.2500)  4 Sc 3.15, 4 Eu 3.15

For the formation energy, the calculation gives -0.3482 eV/atom. The crystal system is cubic.

(3)
Here is a geometry-optimized SrInTc2 structure from Alexandria via LeMat-Bulk. Energies are from PBE.

a b c (Å): 3.6359 3.6359 6.8467
angles (deg): 90.00 90.00 90.00
With the nearest neighbours (Å) after each atom.
Element x y z (fractional)
Sr (0.0000, 0.0000, 0.0000)  2 In 3.42, 8 Tc 3.43, 4 Sr 3.64
In (0.0000, 0.0000, 0.5000)  8 Tc 2.82
Tc (0.5000, 0.5000, 0.3313)  1 Tc 2.31
Tc (0.5000, 0.5000, 0.6687)  1 Tc 2.31

For the formation energy, the calculation gives 0.5405 eV/atom. The crystal system is tetragonal.

(4)
Here is a geometry-optimized EuAlCuAg structure from Alexandria via LeMat-Bulk. Energies are from PBE.

a b c (Å): 6.8630 6.8630 6.8630
angles (deg): 90.00 90.00 90.00
With the nearest neighbours (Å) after each atom.
Element x y z (fractional)
Eu (0.0000, 0.0000, 0.0000)  4 Cu 2.97, 4 Ag 2.97
Eu (0.0000, 0.5000, 0.5000)  4 Cu 2.97, 4 Ag 2.97
Eu (0.5000, 0.0000, 0.5000)  4 Cu 2.97, 4 Ag 2.97
Eu (0.5000, 0.5000, 0.0000)  4 Cu 2.97, 4 Ag 2.97
Al (0.0000, 0.0000, 0.5000)  4 Ag 2.97, 4 Cu 2.97
Al (0.0000, 0.5000, 0.0000)  4 Ag 2.97, 4 Cu 2.97
Al (0.5000, 0.0000, 0.0000)  4 Ag 2.97, 4 Cu 2.97
Al (0.5000, 0.5000, 0.5000)  4 Ag 2.97, 4 Cu 2.97
Cu (0.2500, 0.2500, 0.2500)  4 Al 2.97, 4 Eu 2.97
Cu (0.2500, 0.7500, 0.7500)  4 Al 2.97, 4 Eu 2.97
Cu (0.7500, 0.2500, 0.7500)  4 Al 2.97, 4 Eu 2.97
Cu (0.7500, 0.7500, 0.2500)  4 Al 2.97, 4 Eu 2.97
Ag (0.2500, 0.2500, 0.7500)  4 Al 2.97, 4 Eu 2.97
Ag (0.2500, 0.7500, 0.2500)  4 Al 2.97, 4 Eu 2.97
Ag (0.7500, 0.2500, 0.2500)  4 Al 2.97, 4 Eu 2.97
Ag (0.7500, 0.7500, 0.7500)  4 Al 2.97, 4 Eu 2.97

For the formation energy, the calculation gives -0.0969 eV/atom. The crystal system is cubic.

(5)
Here is a geometry-optimized RuW2Br structure from Alexandria via LeMat-Bulk. Energies are from PBE.

a b c (Å): 2.8924 4.0144 5.8910
angles (deg): 90.00 90.00 90.00
With the nearest neighbours (Å) after each atom.
Element x y z (fractional)
Ru (0.0000, 0.0000, 0.0000)  8 W 2.76, 2 Ru 2.89, 2 Br 2.95
W (0.5000, 0.5000, 0.2094)  1 W 2.47
W (0.5000, 0.5000, 0.7906)  1 W 2.47
Br (0.0000, 0.0000, 0.5000)  2 Br 2.89, 2 Ru 2.95, 8 W 3.01

The crystal system is orthorhombic. As for the distance to the lowest polymorph of the same formula: 407.9 meV per atom. The energy relative to the elements, uncorrected is 898 meV per atom.

(6)
Here is a geometry-optimized MnSbMo structure from Alexandria via LeMat-Bulk. Energies are from PBE.

a b c (Å): 3.1162 3.1162 9.6236
angles (deg): 90.00 90.00 90.00
With the nearest neighbours (Å) after each atom.
Element x y z (fractional)
Mn (0.0000, 0.0000, 0.0000)  4 Sb 2.65, 4 Mo 2.70
Mn (0.5000, 0.5000, 0.5000)  4 Sb 2.65, 4 Mo 2.70
Sb (0.0000, 0.0000, 0.6535)  4 Mn 2.65, 4 Mo 2.83
Sb (0.5000, 0.5000, 0.1535)  4 Mn 2.65, 4 Mo 2.83
Mo (0.0000, 0.0000, 0.3379)  4 Mn 2.70, 4 Sb 2.83
Mo (0.5000, 0.5000, 0.8379)  4 Mn 2.70, 4 Sb 2.83

The crystal system is tetragonal. As for the distance to the lowest polymorph of the same formula: 339.9 meV per atom. The energy relative to the elements, uncorrected is 361 meV per atom.

(7)
Here is a geometry-optimized BaSr2Li2In2 structure from Alexandria via LeMat-Bulk. Energies are from PBE.

a b c (Å): 11.4080 11.4080 11.4080
angles (deg): 26.13 26.13 26.13
With the nearest neighbours (Å) after each atom.
Element x y z (fractional)
Ba (0.0000, 0.0000, 0.0000)  6 Li 3.76, 6 In 3.87, 2 Sr 4.16
Sr (0.1260, 0.1260, 0.1260)  3 In 3.42, 3 Li 3.51
Sr (0.8740, 0.8740, 0.8740)  3 In 3.42, 3 Li 3.51
Li (0.4029, 0.4029, 0.4029)  3 In 2.98
Li (0.5971, 0.5971, 0.5971)  3 In 2.98
In (0.2583, 0.2583, 0.2583)  3 Li 2.98
In (0.7417, 0.7417, 0.7417)  3 Li 2.98

For the formation energy, the calculation gives -0.2194 eV/atom. The crystal system is trigonal.

(8)
Here is a geometry-optimized SiOF structure from Alexandria via LeMat-Bulk. Energies are from PBE.

a b c (Å): 3.6057 4.4518 5.8115
angles (deg): 79.05 72.04 66.13
With the nearest neighbours (Å) after each atom.
Element x y z (fractional)
Si (0.1712, 0.2436, 0.4136)  1 F 1.60, 1 O 1.74
Si (0.8288, 0.7564, 0.5864)  1 F 1.60, 1 O 1.74
O (0.3025, 0.8442, 0.5510)  3 Si 1.74-1.85
O (0.6975, 0.1558, 0.4490)  3 Si 1.74-1.85
F (0.2990, 0.2775, 0.1227)  1 Si 1.60
F (0.7010, 0.7225, 0.8773)  1 Si 1.60

The crystal system is triclinic. As for the distance to the lowest polymorph of the same formula: 0.0 meV per atom. The energy relative to the elements, uncorrected is -2481 meV per atom.

(9)
Here is a geometry-optimized HoAl3Cu2 structure from Alexandria via LeMat-Bulk. Energies are from PBE.

a b c (Å): 8.3533 8.3533 9.8119
angles (deg): 105.70 105.70 27.81
With the nearest neighbours (Å) after each atom.
Element x y z (fractional)
Ho (0.0000, 0.0000, 0.0000)  6 Cu 3.08-3.14, 6 Al 3.14-3.27
Ho (0.1563, 0.1563, 0.7009)  6 Cu 3.08-3.18, 9 Al 3.17-3.44
Ho (0.8437, 0.8437, 0.2991)  6 Cu 3.08-3.18, 9 Al 3.17-3.44
Al (0.0455, 0.0455, 0.3466)  4 Cu 2.47-2.58, 3 Al 2.68-2.73
Al (0.2163, 0.2163, 0.3892)  4 Cu 2.40-2.54
Al (0.3294, 0.3294, 0.0375)  4 Cu 2.49-2.54, 1 Al 2.63
Al (0.3737, 0.3737, 0.7996)  4 Cu 2.47-2.56, 1 Al 2.63
Al (0.5000, 0.5000, 0.5000)  4 Cu 2.42-2.64
Al (0.6263, 0.6263, 0.2004)  4 Cu 2.47-2.56, 1 Al 2.63
Al (0.6706, 0.6706, 0.9625)  4 Cu 2.49-2.54, 1 Al 2.63
Al (0.7837, 0.7837, 0.6108)  4 Cu 2.40-2.54
Al (0.9545, 0.9545, 0.6534)  4 Cu 2.47-2.58, 3 Al 2.68-2.73
Cu (0.2002, 0.2002, 0.1268)  6 Al 2.49-2.54
Cu (0.3598, 0.3598, 0.5429)  7 Al 2.40-2.58
Cu (0.4729, 0.4729, 0.2222)  5 Al 2.47-2.64
Cu (0.5271, 0.5271, 0.7778)  5 Al 2.47-2.64
Cu (0.6402, 0.6402, 0.4571)  7 Al 2.40-2.58
Cu (0.7998, 0.7998, 0.8732)  6 Al 2.49-2.54

For the formation energy, the calculation gives -0.3976 eV/atom. The crystal system is monoclinic.

(10)
Here is a geometry-optimized Pa2SnB2Ru5 structure from Alexandria via LeMat-Bulk. Energies are from PBE.

a b c (Å): 9.6186 9.6186 3.2855
angles (deg): 90.00 90.00 90.00
With the nearest neighbours (Å) after each atom.
Element x y z (fractional)
Pa (0.1762, 0.3238, 0.0000)  3 B 2.77-2.90, 10 Ru 2.91-3.06
Pa (0.3238, 0.8238, 0.0000)  3 B 2.77-2.90, 10 Ru 2.91-3.06
Pa (0.6762, 0.1762, 0.0000)  3 B 2.77-2.90, 10 Ru 2.91-3.06
Pa (0.8238, 0.6762, 0.0000)  3 B 2.77-2.90, 10 Ru 2.91-3.06
Sn (0.0000, 0.0000, 0.0000)  8 Ru 2.80
Sn (0.5000, 0.5000, 0.0000)  8 Ru 2.80
B (0.1204, 0.6204, 0.0000)  6 Ru 2.27-2.32
B (0.3796, 0.1204, 0.0000)  6 Ru 2.27-2.32
B (0.6204, 0.8796, 0.0000)  6 Ru 2.27-2.32
B (0.8796, 0.3796, 0.0000)  6 Ru 2.27-2.32
Ru (0.0000, 0.5000, 0.5000)  4 B 2.32
Ru (0.0725, 0.7759, 0.5000)  2 B 2.27
Ru (0.2241, 0.0725, 0.5000)  2 B 2.27
Ru (0.2759, 0.5725, 0.5000)  2 B 2.27
Ru (0.4275, 0.2759, 0.5000)  2 B 2.27
Ru (0.5000, 0.0000, 0.5000)  4 B 2.32
Ru (0.5725, 0.7241, 0.5000)  2 B 2.27
Ru (0.7241, 0.4275, 0.5000)  2 B 2.27
Ru (0.7759, 0.9275, 0.5000)  2 B 2.27
Ru (0.9275, 0.2241, 0.5000)  2 B 2.27

For the formation energy, the calculation gives -0.5999 eV/atom. The crystal system is tetragonal.

Number 1: density 8.0 g cm⁻³. Number 2: density 6.5 g cm⁻³. Number 3: density 7.3 g cm⁻³. Number 4: density 7.2 g cm⁻³. Number 5: density 13.3 g cm⁻³. Number 6: density 9.7 g cm⁻³. Number 7: density 3.6 g cm⁻³. Number 8: density 2.6 g cm⁻³. Number 9: density 6.1 g cm⁻³. Number 10: density 12.1 g cm⁻³.